Dy2CuNi (PBE-GGA, optimized geometry); ΔE_f = -0.369 eV/atom; SG = P2_1/m (11)
1.0
-4.1067 1.6128 -3.1537
-0.3566 -3.9428 -1.5520
-4.5980 -1.6331 5.2054
Cu Dy Ni
2 4 2
Cartesian
-3.2342 -3.6350 1.2399
-5.8273 -0.3280 -0.7402
-3.0255 -0.8860 0.0335
-4.6050 -1.8356 -3.0164
-4.4564 -2.1274 3.5161
-6.0360 -3.0770 0.4662
-1.9613 -2.4173 -2.1461
-7.1002 -1.5457 2.6458

---

RbTbHg3O4 (PBE-GGA, optimized geometry); SG = P-43m (215)
1.0
5.9797 0.0000 0.0000
0.0000 5.9797 0.0000
0.0000 0.0000 5.9797
O Hg Tb Rb
4 3 1 1
Cartesian
1.7359 4.2438 4.2438
4.2438 1.7359 4.2438
4.2438 4.2438 1.7359
1.7359 1.7359 1.7359
0.0000 2.9898 2.9898
2.9898 2.9898 0.0000
2.9898 0.0000 2.9898
2.9898 2.9898 2.9898
0.0000 0.0000 0.0000

---

YNb2Cd (PBE-GGA, optimized geometry); ΔE_f = 0.236 eV/atom; SG = F-43m (216)
1.0
2.4582 1.4193 4.0143
-2.4582 1.4193 4.0143
0.0000 -2.8385 4.0143
Nb Y Cd
2 1 1
Cartesian
0.0000 0.0000 6.0214
0.0000 0.0000 9.0321
0.0000 0.0000 0.0000
0.0000 0.0000 3.0107

---

LiNdRe (PBE-GGA, optimized geometry); SG = F-43m (216); offset from the most stable computed form = 37.3 kJ/mol of atoms
1.0
2.1636 1.9598 3.6124
-2.3730 0.9972 3.8660
0.7369 -2.4524 3.8748
Li Nd Re
1 1 1
Cartesian
0.1319 0.1261 2.8383
0.0000 0.0000 0.0000
0.3957 0.3784 8.5149

---

NbCoAgAs (PBE-GGA, optimized geometry); SG = F-43m (216); offset from the most stable computed form = 0.0 kJ/mol of atoms
1.0
0.0000 3.1373 3.1373
3.1373 0.0000 3.1373
3.1373 3.1373 0.0000
Co As Nb Ag
1 1 1 1
Cartesian
4.7059 4.7059 4.7059
0.0000 0.0000 0.0000
1.5686 1.5686 1.5686
3.1373 3.1373 3.1373

---

FeSb2S4 (PBE-GGA, optimized geometry); SG = Pnma (62)
1.0
-4.6751 -9.7091 3.9170
12.8807 -4.8412 3.3736
-0.3192 1.5326 3.4180
Sb S Fe
8 16 4
Cartesian
7.7886 -11.7175 9.0827
0.0978 -1.3001 1.6259
9.1827 -8.4024 5.6589
4.5706 -1.0872 4.0156
-1.2963 -4.6152 5.0497
5.3593 -5.0713 5.8757
2.5272 -7.9463 4.8329
3.3158 -11.9305 6.6930
2.3390 -2.1036 4.2630
-0.5775 -6.7405 6.0698
8.4639 -6.2771 4.6388
7.4976 -8.4066 7.5710
-3.3457 -6.7494 3.7478
11.2321 -6.2683 6.9609
2.8350 -5.1865 5.6917
5.1467 -4.2082 3.4013
0.3889 -4.6110 3.1377
-3.4354 -8.5629 6.6201
-0.3745 -10.0572 5.5084
11.3218 -4.4548 4.0885
8.2610 -2.9605 5.2002
5.5474 -10.9141 6.4456
2.7397 -8.8095 7.3073
5.0514 -7.8311 5.0169
2.7190 -4.3167 3.2233
-1.7505 -8.3700 4.6234
5.1674 -8.7010 7.4853
9.6369 -4.6477 6.0852

---

Sequential spin magnetization output: 0.00 0.00 0.00 1.09 0.00 15.42 μB per cell
Sequential volume output: 164.5 213.8 84.0 70.8 61.8 610.7 Å³ per cell
Sequential total DFT energy (no corrections) output: -39.93 -35.60 -26.60 -14.85 -23.76 -137.83 eV per cell